An optimized crystal structure of YFe2PdAu. Source: Alexandria, functional PBE.

As for the calculated formation energy: 1.435 eV/atom. Its space-group type is P4/mmm (123). The value obtained for the total energy is -24.7 eV per formula unit.

Structure (POSCAR):
```
YFe2PdAu
1.0
-4.145 1.943 -1.049
-1.293 -0.183 4.772
1.835 4.272 0.661
Y Au Fe Pd
1 1 2 1
Direct
0.000 0.000 0.000 Y
0.500 0.500 0.500 Au
0.000 0.000 0.500 Fe
0.500 0.000 0.000 Fe
0.000 0.500 0.000 Pd
```